No. 1
## PWBr2 (PBE)

Data for PWBr2 after structural relaxation.

Values from the calculation:
ΔE_f (raw)	0.438	eV/atom
volume	23.3	Å³/atom
energy	-4.99	eV per atom
space-group type	Cmm2 (35)
density	6674	kg/m3

Unit cell a=3.481 b=5.296 c=10.112 alpha=90.00 beta=90.00 gamma=90.00
Positions (direct):
P  0.000  0.000  0.000
P  0.500  0.500  0.000
W  0.000  0.500  0.847
W  0.500  0.000  0.847
Br  0.000  0.000  0.642
Br  0.000  0.500  0.288
Br  0.500  0.000  0.288
Br  0.500  0.500  0.642

No. 2
## PWBr2 (PBE)

Data for PWBr2 after structural relaxation.

Values from the calculation:
ΔE_f (raw)	0.020	eV/atom
volume	23.1	Å³/atom
energy	-5.41	eV per atom
space-group type	Pm (6)
density	6739	kg/m3

Unit cell a=3.522 b=3.253 c=8.166 alpha=90.00 beta=99.36 gamma=90.00
Positions (direct):
P  0.000  0.000  0.000
W  0.434  0.500  0.909
Br  0.365  0.000  0.654
Br  0.663  0.500  0.237

No. 3
## PW2Br (PBE)

Data for PW2Br after structural relaxation.

Values from the calculation:
ΔE_f (raw)	0.777	eV/atom
volume	15.0	Å³/atom
energy	-7.47	eV per atom
space-group type	Fm-3m (225)
density	13238	kg/m3

Unit cell a=6.215 b=6.215 c=6.215 alpha=90.00 beta=90.00 gamma=90.00
Positions (direct):
P  0.000  0.000  0.000
P  0.000  0.500  0.500
P  0.500  0.000  0.500
P  0.500  0.500  0.000
W  0.250  0.250  0.250
W  0.250  0.250  0.750
W  0.250  0.750  0.250
W  0.250  0.750  0.750
W  0.750  0.250  0.250
W  0.750  0.250  0.750
W  0.750  0.750  0.250
W  0.750  0.750  0.750
Br  0.000  0.000  0.500
Br  0.000  0.500  0.000
Br  0.500  0.000  0.000
Br  0.500  0.500  0.500

No. 4
## PWBr3 (PBE)

Data for PWBr3 after structural relaxation.

Values from the calculation:
ΔE_f (raw)	0.826	eV/atom
volume	29.1	Å³/atom
energy	-3.85	eV per atom
space-group type	Pm-3m (221)
density	5179	kg/m3

Unit cell a=5.263 b=5.263 c=5.263 alpha=90.00 beta=90.00 gamma=90.00
Positions (direct):
P  0.000  0.000  0.000
W  0.500  0.500  0.500
Br  0.000  0.500  0.500
Br  0.500  0.000  0.500
Br  0.500  0.500  0.000

No. 5
## PWBr2 (PBE)

Data for PWBr2 after structural relaxation.

Values from the calculation:
ΔE_f (raw)	1.111	eV/atom
volume	18.0	Å³/atom
energy	-4.32	eV per atom
space-group type	F-43m (216)
density	8622	kg/m3

Unit cell a=6.608 b=6.608 c=6.608 alpha=90.00 beta=90.00 gamma=90.00
Positions (direct):
P  0.000  0.000  0.000
P  0.000  0.500  0.500
P  0.500  0.000  0.500
P  0.500  0.500  0.000
W  0.250  0.250  0.250
W  0.250  0.750  0.750
W  0.750  0.250  0.750
W  0.750  0.750  0.250
Br  0.000  0.000  0.500
Br  0.000  0.500  0.000
Br  0.250  0.250  0.750
Br  0.250  0.750  0.250
Br  0.500  0.000  0.000
Br  0.500  0.500  0.500
Br  0.750  0.250  0.250
Br  0.750  0.750  0.750

No. 6
## PWBr2 (PBE)

Data for PWBr2 after structural relaxation.

Values from the calculation:
ΔE_f (raw)	1.188	eV/atom
volume	19.9	Å³/atom
energy	-4.24	eV per atom
space-group type	C2/m (12)
density	7803	kg/m3

Unit cell a=5.899 b=9.185 c=3.521 alpha=90.00 beta=123.31 gamma=90.00
Positions (direct):
P  0.000  0.000  0.000
P  0.500  0.500  0.000
W  0.000  0.500  0.000
W  0.500  0.000  0.000
Br  0.250  0.250  0.500
Br  0.250  0.750  0.500
Br  0.750  0.250  0.500
Br  0.750  0.750  0.500